Version i
# Zr2BeRh6

Crystalline Zr2BeRh6 at its relaxed geometry (PBE, the Alexandria database).

Cell: 3.021 7.196 7.740 Å, 117.70 101.20 90.00°
Element x y z (fractional)
Zr1 0.642 0.644 0.288
Zr2 0.358 0.356 0.712
Be1 0.000 0.000 0.000
Rh1 0.169 0.361 0.339
Rh2 0.831 0.022 0.661
Rh3 0.831 0.639 0.661
Rh4 0.500 0.231 0.000
Rh5 0.169 0.978 0.339
Rh6 0.500 0.769 0.000

The value obtained for the calculated volume is 145.3 Å³ per cell. For the density, the calculation gives 9.2 Mg/m³. The total moment comes out at 0.000 μB per atom. As for the space-group type: C2/m.

=====

Version ii
# Zr2BeRh6

Crystalline Zr2BeRh6 at its relaxed geometry (PBE, the Alexandria database).

Cell: 5.749 5.749 5.749 Å, 59.99 59.99 60.00°
Element x y z (fractional)
Zr1 0.250 0.250 0.250
Zr2 0.750 0.750 0.750
Be1 0.500 0.500 0.500
Rh1 0.238 0.238 0.762
Rh2 0.238 0.762 0.238
Rh3 0.762 0.238 0.762
Rh4 0.762 0.238 0.238
Rh5 0.238 0.762 0.762
Rh6 0.762 0.762 0.238

The value obtained for the calculated volume is 134.3 Å³ per cell. For the density, the calculation gives 10.0 Mg/m³. The total moment comes out at 0.000 μB per atom. As for the space-group type: Fm-3m.

=====

version ii ends up most stable, edging out the next structure by 0.412 eV/atom.

=====

Version i
# Be4Ru5

Crystalline Be4Ru5 at its relaxed geometry (PBE, the Alexandria database).

Cell: 6.990 6.990 4.821 Å, 90.00 90.00 120.00°
Element x y z (fractional)
Ru1 0.000 0.727 0.250
Ru2 0.273 0.273 0.250
Ru3 0.727 0.000 0.250
Ru4 0.000 0.273 0.750
Ru5 0.727 0.727 0.750
Ru6 0.273 0.000 0.750
Ru7 0.667 0.333 0.000
Ru8 0.333 0.667 0.500
Ru9 0.333 0.667 0.000
Ru10 0.667 0.333 0.500
Be1 0.000 0.000 0.000
Be2 0.000 0.000 0.500
Be3 0.000 0.386 0.250
Be4 0.614 0.614 0.250
Be5 0.386 0.000 0.250
Be6 0.000 0.614 0.750
Be7 0.386 0.386 0.750
Be8 0.614 0.000 0.750

The value obtained for the calculated volume is 204.0 Å³ per cell. For the density, the calculation gives 8.8 Mg/m³. The total moment comes out at 0.000 μB per atom. As for the space-group type: P6_3/mcm.

=====

Version ii
# Be4Ru5

Crystalline Be4Ru5 at its relaxed geometry (PBE, the Alexandria database).

Cell: 5.633 5.633 5.633 Å, 97.03 97.03 139.05°
Element x y z (fractional)
Be1 0.319 0.000 0.319
Be2 0.681 0.000 0.681
Be3 0.000 0.681 0.681
Be4 0.000 0.319 0.319
Ru1 0.000 0.000 0.000
Ru2 0.326 0.674 0.000
Ru3 0.674 0.326 0.000
Ru4 0.674 0.674 0.348
Ru5 0.326 0.326 0.652

The value obtained for the calculated volume is 109.8 Å³ per cell. For the density, the calculation gives 8.2 Mg/m³. The total moment comes out at 0.000 μB per atom. As for the space-group type: I4/mmm.

=====

version i ends up most stable, edging out the next structure by 0.267 eV/atom.

=====

Version i
# Be4Ru

Crystalline Be4Ru at its relaxed geometry (PBE, the Alexandria database).

Cell: 5.472 5.472 5.472 Å, 147.85 147.85 46.11°
Element x y z (fractional)
Be1 0.750 0.250 0.500
Be2 0.250 0.750 0.500
Be3 0.599 0.599 0.000
Be4 0.401 0.401 0.000
Ru1 0.000 0.000 0.000

The value obtained for the calculated volume is 46.2 Å³ per cell. For the density, the calculation gives 4.9 Mg/m³. The total moment comes out at 0.000 μB per atom. As for the space-group type: I4/mmm.

=====

Version ii
# Be4Ru

Crystalline Be4Ru at its relaxed geometry (PBE, the Alexandria database).

Cell: 4.206 4.206 4.206 Å, 97.58 97.58 137.40°
Element x y z (fractional)
Be1 0.800 0.397 0.196
Be2 0.397 0.200 0.597
Be3 0.200 0.603 0.804
Be4 0.603 0.800 0.403
Ru1 0.000 0.000 0.000

The value obtained for the calculated volume is 46.9 Å³ per cell. For the density, the calculation gives 4.9 Mg/m³. The total moment comes out at 0.000 μB per atom. As for the space-group type: I4/m.

=====

Version iii
# Be4Ru

Crystalline Be4Ru at its relaxed geometry (PBE, the Alexandria database).

Cell: 4.113 4.113 4.113 Å, 90.00 90.00 90.00°
Element x y z (fractional)
Ru1 0.500 0.500 0.500
Be1 0.000 0.000 0.000
Be2 0.500 0.000 0.500
Be3 0.000 0.500 0.500
Be4 0.500 0.500 0.000

The value obtained for the calculated volume is 69.6 Å³ per cell. For the density, the calculation gives 3.3 Mg/m³. The total moment comes out at 0.000 μB per atom. As for the space-group type: Pm-3m.

=====

Version iv
# Be4Ru

Crystalline Be4Ru at its relaxed geometry (PBE, the Alexandria database).

Cell: 4.416 4.416 4.416 Å, 109.47 109.47 109.47°
Element x y z (fractional)
Be1 0.500 0.000 0.000
Be2 0.500 0.500 0.500
Be3 0.000 0.500 0.000
Be4 0.000 0.000 0.500
Ru1 0.000 0.000 0.000

The value obtained for the calculated volume is 66.3 Å³ per cell. For the density, the calculation gives 3.4 Mg/m³. The total moment comes out at 0.000 μB per atom. As for the space-group type: Im-3m.

=====

version ii ends up most stable, edging out the next structure by 0.180 eV/atom.

=====

Version i
# Be3Ru5

Crystalline Be3Ru5 at its relaxed geometry (PBE, the Alexandria database).

Cell: 6.759 6.759 6.751 Å, 96.88 96.88 139.48°
Element x y z (fractional)
Be1 0.750 0.750 0.000
Be2 0.249 0.250 0.000
Be3 0.329 0.171 0.500
Be4 0.671 0.829 0.500
Be5 0.170 0.671 0.842
Be6 0.829 0.329 0.158
Ru1 0.249 0.750 0.500
Ru2 0.750 0.250 0.500
Ru3 0.776 0.074 0.852
Ru4 0.223 0.926 0.148
Ru5 0.722 0.575 0.297
Ru6 0.277 0.425 0.703
Ru7 0.573 0.277 0.852
Ru8 0.426 0.723 0.148
Ru9 0.075 0.223 0.297
Ru10 0.925 0.777 0.703

The value obtained for the calculated volume is 188.0 Å³ per cell. For the density, the calculation gives 9.4 Mg/m³. The total moment comes out at 0.000 μB per atom. As for the space-group type: I4/mcm.

=====

Version ii
# Be3Ru5

Crystalline Be3Ru5 at its relaxed geometry (PBE, the Alexandria database).

Cell: 5.019 5.019 4.037 Å, 90.00 90.00 108.81°
Each line ends with the local moment (μB).
Element x y z (fractional)
Be1 0.500 0.500 0.000  0.00
Be2 0.770 0.230 0.500  0.00
Be3 0.230 0.770 0.500  0.00
Ru1 0.000 0.000 0.000  0.60
Ru2 0.000 0.500 0.000  0.10
Ru3 0.500 0.000 0.000  0.10
Ru4 0.279 0.279 0.500  0.17
Ru5 0.721 0.721 0.500  0.17

The value obtained for the calculated volume is 96.3 Å³ per cell. For the density, the calculation gives 9.2 Mg/m³. The total moment comes out at 0.148 μB per atom. As for the space-group type: Cmmm.

=====

version i ends up most stable, edging out the next structure by 0.149 eV/atom.

=====

Version i
# Be6Ru

Crystalline Be6Ru at its relaxed geometry (PBE, the Alexandria database).

Cell: 4.210 6.888 8.262 Å, 90.00 90.00 90.00°
Element x y z (fractional)
Be1 0.750 0.598 0.019
Be2 0.250 0.402 0.981
Be3 0.750 0.098 0.481
Be4 0.250 0.902 0.519
Be5 0.005 0.441 0.195
Be6 0.505 0.559 0.805
Be7 0.495 0.941 0.305
Be8 0.995 0.059 0.695
Be9 0.995 0.559 0.805
Be10 0.495 0.441 0.195
Be11 0.505 0.059 0.695
Be12 0.005 0.941 0.305
Be13 0.250 0.155 0.148
Be14 0.750 0.845 0.852
Be15 0.250 0.655 0.352
Be16 0.750 0.345 0.648
Be17 0.250 0.802 0.752
Be18 0.750 0.198 0.248
Be19 0.250 0.302 0.748
Be20 0.750 0.698 0.252
Be21 0.250 0.546 0.583
Be22 0.750 0.454 0.417
Be23 0.250 0.046 0.917
Be24 0.750 0.954 0.083
Ru1 0.750 0.259 0.929
Ru2 0.250 0.741 0.071
Ru3 0.750 0.759 0.571
Ru4 0.250 0.241 0.429

The value obtained for the calculated volume is 239.6 Å³ per cell. For the density, the calculation gives 4.3 Mg/m³. The total moment comes out at 0.000 μB per atom. As for the space-group type: Pnma.

=====

Version ii
# Be6Ru

Crystalline Be6Ru at its relaxed geometry (PBE, the Alexandria database).

Cell: 4.659 4.659 4.659 Å, 109.47 109.47 109.47°
Each line ends with the local moment (μB).
Element x y z (fractional)
Be1 0.250 0.750 0.500  0.02
Be2 0.500 0.750 0.250  0.02
Be3 0.250 0.500 0.750  0.02
Be4 0.750 0.250 0.500  0.02
Be5 0.500 0.250 0.750  0.02
Be6 0.750 0.500 0.250  0.02
Ru1 0.000 0.000 0.000  1.13

The value obtained for the calculated volume is 77.8 Å³ per cell. For the density, the calculation gives 3.3 Mg/m³. The total moment comes out at 0.190 μB per atom. As for the space-group type: Im-3m.

=====

version i ends up most stable, edging out the next structure by 1.503 eV/atom.

=====

Version i
# Be2TlRuS

Crystalline Be2TlRuS at its relaxed geometry (PBE, the Alexandria database).

Cell: 4.349 5.827 4.349 Å, 90.00 90.00 90.00°
Each line ends with the local moment (μB).
Element x y z (fractional)
Ru1 0.500 0.500 0.500  2.60
Tl1 0.000 0.000 0.000  0.03
S1 0.000 0.500 0.000  0.11
Be1 0.000 0.000 0.500  0.01
Be2 0.500 0.000 0.000  0.01

The value obtained for the calculated volume is 110.2 Å³ per cell. For the density, the calculation gives 5.4 Mg/m³. The total moment comes out at 0.597 μB per atom. As for the space-group type: P4/mmm.

=====

Version ii
# Be2TlRuS

Crystalline Be2TlRuS at its relaxed geometry (PBE, the Alexandria database).

Cell: 4.254 5.261 4.254 Å, 90.00 90.00 90.00°
Element x y z (fractional)
Ru1 0.000 0.000 0.000
Tl1 0.000 0.500 0.000
S1 0.500 0.500 0.500
Be1 0.000 0.000 0.500
Be2 0.500 0.000 0.000

The value obtained for the calculated volume is 95.2 Å³ per cell. For the density, the calculation gives 6.2 Mg/m³. The total moment comes out at 0.000 μB per atom. As for the space-group type: P4/mmm.

=====

version ii ends up most stable, edging out the next structure by 0.809 eV/atom.